Record 1
Below is a geometry-optimized GdHo3F structure, with properties calculated at the PBE-GGA level.

a b c (Å): 5.025 5.025 5.025
angles (deg): 90.00 90.00 90.00
Each line ends with the local moment (μB).
Atoms (fractional coordinates):
Ho (0.500, 0.000, 0.000)  0.02
Ho (0.000, 0.000, 0.500)  0.02
Ho (0.000, 0.500, 0.000)  0.02
Gd (0.500, 0.500, 0.500)  7.18
F (0.000, 0.000, 0.000)  -0.01

Values from the calculation:
As for the space-group type: Pm-3m. The calculation puts the final energy at -6.85 eV per atom. For the uncorrected formation energy, the calculation gives -439 kJ/mol of formula units. For the volume, the calculation gives 25.374 Å³/atom.

---

Record 2
Below is a geometry-optimized Zr2Zn12Pd structure, with properties calculated at the PBE-GGA level.

a b c (Å): 5.529 5.529 16.453
angles (deg): 90.00 90.00 90.00
Atoms (fractional coordinates):
Zn (0.000, 0.000, 0.802)
Zn (0.667, 0.833, 0.568)
Zn (0.500, 0.500, 0.340)
Zn (0.500, 0.500, 0.660)
Zn (0.750, 0.750, 0.101)
Zn (0.250, 0.750, 0.899)
Zn (0.750, 0.250, 0.899)
Zn (0.333, 0.833, 0.432)
Zn (0.667, 0.167, 0.432)
Zn (0.500, 0.500, 0.198)
Zn (0.500, 0.500, 0.802)
Zn (0.750, 0.750, 0.899)
Zn (0.750, 0.250, 0.101)
Zn (0.167, 0.333, 0.432)
Zn (0.000, 0.000, 0.340)
Zn (0.833, 0.333, 0.568)
Zn (0.000, 0.000, 0.198)
Zn (0.833, 0.667, 0.432)
Zn (0.333, 0.167, 0.568)
Zn (0.167, 0.667, 0.568)
Zn (0.250, 0.250, 0.101)
Zn (0.000, 0.000, 0.660)
Zn (0.250, 0.750, 0.101)
Zn (0.250, 0.250, 0.899)
Pd (0.500, 0.000, 0.000)
Pd (0.000, 0.500, 0.000)
Zr (0.500, 0.000, 0.748)
Zr (0.500, 0.000, 0.252)
Zr (0.000, 0.500, 0.748)
Zr (0.000, 0.500, 0.252)

Values from the calculation:
As for the space-group type: P4/nbm. The calculation puts the final energy at -2.60 eV per atom. For the volume, the calculation gives 16.768 Å³/atom.

---

Record 3
Below is a geometry-optimized TlTc2Pt structure, with properties calculated at the PBE-GGA level.

a b c (Å): 5.028 5.028 5.028
angles (deg): 133.32 133.35 68.13
Each line ends with the local moment (μB).
Atoms (fractional coordinates):
Tc (0.500, 0.500, 0.000)  0.05
Tc (0.000, 0.000, 0.000)  0.05
Tl (0.250, 0.750, 0.500)  0.00
Pt (0.750, 0.250, 0.500)  0.00

Values from the calculation:
As for the space-group type: I4/mmm. The calculation puts the final energy at -6.85 eV per atom. The energy above the most stable polymorph in this dataset is 23.6 kJ/mol of atoms. For the volume, the calculation gives 16.517 Å³/atom.

---

Record 4
Below is a geometry-optimized Nd2ThIn9 structure, with properties calculated at the PBE-GGA level.

a b c (Å): 4.724 4.724 14.193
angles (deg): 90.00 90.00 90.00
Atoms (fractional coordinates):
In (0.500, 0.000, 0.168)
In (0.500, 0.500, 0.334)
In (0.500, 0.000, 0.832)
In (0.500, 0.000, 0.500)
In (0.000, 0.500, 0.168)
In (0.500, 0.500, 0.000)
In (0.000, 0.500, 0.500)
In (0.500, 0.500, 0.666)
In (0.000, 0.500, 0.832)
Nd (0.000, 0.000, 0.666)
Nd (0.000, 0.000, 0.334)
Th (0.000, 0.000, 0.000)

Values from the calculation:
As for the space-group type: P4/mmm. The calculation puts the final energy at -3.90 eV per atom. For the volume, the calculation gives 26.399 Å³/atom.

---

Record 5
Below is a geometry-optimized YThSc3 structure, with properties calculated at the PBE-GGA level.

a b c (Å): 3.422 7.924 11.600
angles (deg): 86.36 72.88 77.53
Atoms (fractional coordinates):
Sc (0.235, 0.000, 0.761)
Sc (0.577, 0.339, 0.752)
Sc (0.423, 0.661, 0.248)
Sc (0.765, 0.000, 0.239)
Sc (0.917, 0.661, 0.752)
Sc (0.083, 0.339, 0.248)
Th (0.144, 0.712, 0.000)
Th (0.856, 0.288, 0.000)
Y (0.640, 0.720, 0.500)
Y (0.360, 0.280, 0.500)

Values from the calculation:
As for the space-group type: C2/m. The calculation puts the final energy at -6.31 eV per atom. The energy above the most stable polymorph in this dataset is 21.6 kJ/mol of atoms. For the volume, the calculation gives 29.347 Å³/atom.

---

Record 6
Below is a geometry-optimized NiAuC structure, with properties calculated at the PBE-GGA level.

a b c (Å): 3.121 4.271 3.345
angles (deg): 90.00 117.82 90.00
Atoms (fractional coordinates):
C (0.755, 0.000, 0.036)
Ni (0.080, 0.000, 0.686)
Au (0.711, 0.500, 0.949)

Values from the calculation:
As for the space-group type: Amm2. The calculation puts the final energy at -5.37 eV per atom. The energy above the most stable polymorph in this dataset is 3.2 kJ/mol of atoms. For the volume, the calculation gives 13.141 Å³/atom.

---

Record 7
Below is a geometry-optimized TbCe4Pm structure, with properties calculated at the PBE-GGA level.

a b c (Å): 6.344 6.344 6.344
angles (deg): 60.00 60.00 60.00
Each line ends with the local moment (μB).
Atoms (fractional coordinates):
Tb (0.000, 0.000, 0.000)  0.14
Ce (0.628, 0.115, 0.628)  0.78
Ce (0.628, 0.628, 0.628)  0.78
Ce (0.115, 0.628, 0.628)  0.78
Ce (0.628, 0.628, 0.115)  0.78
Pm (0.250, 0.250, 0.250)  0.06

Values from the calculation:
As for the space-group type: F-43m. The calculation puts the final energy at -5.31 eV per atom. For the volume, the calculation gives 30.093 Å³/atom.

---

Record 8
Below is a geometry-optimized Lu2ScBi structure, with properties calculated at the PBE-GGA level.

a b c (Å): 4.027 4.027 6.663
angles (deg): 90.00 90.00 90.00
Atoms (fractional coordinates):
Lu (0.000, 0.000, 0.250)
Lu (0.000, 0.000, 0.750)
Sc (0.500, 0.500, 0.500)
Bi (0.500, 0.500, 0.000)

Values from the calculation:
As for the space-group type: P4/mmm. The calculation puts the final energy at -5.14 eV per atom. The energy above the most stable polymorph in this dataset is 0.0 kJ/mol of atoms. For the volume, the calculation gives 27.008 Å³/atom.

---

Record 9
Below is a geometry-optimized Be2AlSn structure, with properties calculated at the PBE-GGA level.

a b c (Å): 6.978 6.978 5.665
angles (deg): 51.98 51.98 90.00
Atoms (fractional coordinates):
Be (0.137, 0.625, 0.250)
Be (0.875, 0.863, 0.750)
Be (0.613, 0.125, 0.250)
Be (0.375, 0.387, 0.750)
Sn (0.000, 0.000, 0.000)
Sn (0.750, 0.250, 0.500)
Al (0.500, 0.500, 0.000)
Al (0.250, 0.750, 0.500)

Values from the calculation:
As for the space-group type: I-42d. The calculation puts the final energy at -3.09 eV per atom. The energy above the most stable polymorph in this dataset is 13.9 kJ/mol of atoms. For the volume, the calculation gives 16.936 Å³/atom.

---

Record 10
Below is a geometry-optimized Mg6PtAu3 structure, with properties calculated at the PBE-GGA level.

a b c (Å): 4.666 8.140 10.029
angles (deg): 107.12 90.00 90.00
Atoms (fractional coordinates):
Mg (0.250, 0.143, 0.196)
Mg (0.250, 0.465, 0.090)
Mg (0.750, 0.916, 0.111)
Mg (0.250, 0.084, 0.889)
Mg (0.750, 0.353, 0.324)
Mg (0.250, 0.847, 0.319)
Mg (0.250, 0.647, 0.676)
Mg (0.750, 0.857, 0.804)
Mg (0.750, 0.535, 0.910)
Mg (0.250, 0.233, 0.503)
Mg (0.750, 0.153, 0.681)
Mg (0.750, 0.767, 0.497)
Pt (0.750, 0.052, 0.386)
Pt (0.250, 0.948, 0.614)
Au (0.750, 0.226, 0.024)
Au (0.250, 0.774, 0.976)
Au (0.250, 0.367, 0.791)
Au (0.250, 0.527, 0.382)
Au (0.750, 0.473, 0.618)
Au (0.750, 0.633, 0.209)

Values from the calculation:
As for the space-group type: P2_1/m. The calculation puts the final energy at -3.13 eV per atom. For the volume, the calculation gives 18.201 Å³/atom.

---

Record 11
Below is a geometry-optimized GdLuSnPd structure, with properties calculated at the PBE-GGA level.

a b c (Å): 5.132 5.132 5.132
angles (deg): 60.00 60.00 60.00
Each line ends with the local moment (μB).
Atoms (fractional coordinates):
Pd (0.750, 0.750, 0.750)  -0.01
Gd (0.000, 0.000, 0.000)  7.03
Sn (0.250, 0.250, 0.250)  -0.04
Lu (0.500, 0.500, 0.500)  0.02

Values from the calculation:
As for the space-group type: F-43m. The calculation puts the final energy at -7.68 eV per atom. For the volume, the calculation gives 23.894 Å³/atom.

---

Record 12
Below is a geometry-optimized SmEr2Ir structure, with properties calculated at the PBE-GGA level.

a b c (Å): 3.754 3.754 10.693
angles (deg): 79.89 79.89 60.00
Atoms (fractional coordinates):
Sm (0.000, 0.000, 0.000)
Ir (0.500, 0.500, 0.500)
Er (0.885, 0.885, 0.344)
Er (0.115, 0.115, 0.656)

Values from the calculation:
As for the space-group type: R-3m. The calculation puts the final energy at -5.85 eV per atom. The energy above the most stable polymorph in this dataset is 38.5 kJ/mol of atoms. For the volume, the calculation gives 31.951 Å³/atom.

---

> final energy of number 11 (GdLuSnPd)?

-7.68 eV per atom

---

> What is the formula in the eighth record?

Lu2ScBi